Entry 1:
YPSe2 | PBE | relaxed

Calculated values
**E_form (uncorrected)**: -0.75 eV per atom
**Spin magnetization**: 0.00 μB per atom

```
YPSe2
1.0
7.308 -2.090 0.018
7.308 2.090 0.018
6.701 0.000 3.588
Se P Y
2 1 1
direct
0.775 0.775 0.775
0.955 0.955 0.955
0.263 0.263 0.263
0.507 0.507 0.507
```

Entry 2:
Cr2ReH2 | PBE | relaxed

Calculated values
**Offset from the most stable computed form**: 275.5 meV/atom
**Spin magnetization**: 0.00 μB per atom

```
Cr2ReH2
1.0
-0.867 -4.279 3.570
3.845 2.155 3.518
-2.032 1.499 1.303
H Re Cr
4 2 4
direct
0.703 0.203 0.000
0.797 0.703 0.000
0.297 0.797 0.000
0.203 0.297 0.000
0.000 0.000 0.000
0.500 0.500 0.000
0.859 0.359 0.500
0.641 0.859 0.500
0.141 0.641 0.500
0.359 0.141 0.500
```

Entry 3:
SrLa2Pd | PBE | relaxed

Calculated values
**Formation energy from the elements**: 0.047 eV/atom
**Offset from the most stable computed form**: 387.8 meV/atom
**Spin magnetization**: 0.00 μB per atom

```
SrLa2Pd
1.0
4.460 -1.978 -2.641
1.780 -5.152 1.037
-0.581 -3.962 -3.841
La Sr Pd
2 1 1
direct
0.250 0.250 0.250
0.750 0.750 0.750
0.000 0.000 0.000
0.500 0.500 0.500
```

Entry 4:
IrPt2 | PBE | relaxed

Calculated values
**Formation energy from the elements**: 0.130 eV/atom
**Offset from the most stable computed form**: 89.7 meV/atom
**Spin magnetization**: 0.00 μB per atom

```
IrPt2
1.0
1.379 5.217 0.011
-1.379 5.217 0.011
0.000 1.893 6.420
Ir Pt
2 4
direct
0.998 0.998 0.008
0.337 0.337 0.328
0.281 0.281 0.946
0.613 0.613 0.275
0.664 0.664 0.667
0.941 0.941 0.608
```

Entry 5:
CaBrCl2 | PBE | relaxed

Calculated values
**E_form (uncorrected)**: -1.50 eV per atom
**Offset from the most stable computed form**: 132.1 meV/atom
**Spin magnetization**: 0.00 μB per atom

```
CaBrCl2
1.0
4.403 0.000 0.000
0.000 5.509 -0.007
0.000 2.895 4.686
Br Cl Ca
1 2 1
direct
0.000 0.534 0.534
0.500 0.242 0.242
0.000 0.960 0.960
0.500 0.764 0.763
```

Entry 6:
ReOsCl2 | PBE | relaxed

Calculated values
**E_form (uncorrected)**: 0.66 eV per atom
**Offset from the most stable computed form**: 674.3 meV/atom
**Spin magnetization**: 0.17 μB per atom

```
ReOsCl2
1.0
-3.792 -0.211 -5.445
-3.570 -3.011 -4.717
-4.057 0.248 2.193
Cl Re Os
2 1 1
direct
0.610 0.610 0.463
0.890 0.890 0.037
0.250 0.250 0.250
0.750 0.750 0.750
```